Density functional theory data (PBE-GGA) for a geometry-optimized LiBe2Ir structure.

Unit cell a=2.7657 b=4.3812 c=7.9895 alpha=90.00 beta=90.00 gamma=90.00
Space group Cmm2 (No. 35)
One atom of each set of equivalent atoms:
Li 0.0000 0.0000 0.0000
Be 0.0000 0.0000 0.5007
Be 0.0000 0.5000 0.7263
Ir 0.0000 0.5000 0.2733

V: 96.8 Å³/cell
energy relative to the elements: 101 meV per atom
mass density: 7.45 g/cm³
energy: -4.4556 eV per atom